# PBE Ca3ZnRh, optimized geometry
data_Ca3ZnRh
_symmetry_space_group_name_H-M 'P m -3 m'
_symmetry_Int_Tables_number 221
_symmetry_space_group_name_Hall '-P 4 2 3'
_cell_length_a 5.442
_cell_length_b 5.442
_cell_length_c 5.442
_cell_angle_alpha 90.00
_cell_angle_beta 90.00
_cell_angle_gamma 90.00
loop_
_atom_site_label
_atom_site_type_symbol
_atom_site_fract_x
_atom_site_fract_y
_atom_site_fract_z
_atom_site_occupancy
Ca1 Ca 0.000 0.000 0.500 1
Zn1 Zn 0.500 0.500 0.500 1
Rh1 Rh 0.000 0.000 0.000 1
# DFT formation energy (eV/atom): -0.13
# Polymorph energy (0 for the lowest one) (meV/atom): 194
# VASP energy (eV per atom): -3.06
# Density (g cm⁻³): 2.97
# M_tot (Bohr magnetons per cell): 0.00